An optimized crystal structure of Zr3Bi3Sb, computed with PBE-GGA.

Values from the calculation:
Calculated density, g/cm³: 8.85
Raw formation energy, eV/atom: -0.171
VASP energy, eV/cell: -85.21

Lattice parameters (Å, degrees): 6.988 6.988 8.179 91.12 91.12 105.98
Sites, in units of the cell vectors:
Zr 0.030 0.030 0.205
Zr 0.165 0.479 0.678
Zr 0.479 0.165 0.678
Zr 0.521 0.835 0.322
Zr 0.835 0.521 0.322
Zr 0.970 0.970 0.795
Bi 0.158 0.842 0.500
Bi 0.243 0.757 0.000
Bi 0.375 0.375 0.350
Bi 0.625 0.625 0.650
Bi 0.757 0.243 0.000
Bi 0.842 0.158 0.500
Sb 0.276 0.276 0.957
Sb 0.724 0.724 0.043